La2CoPCl: optimized geometry, PBE-GGA.

Cell and atoms, written as POSCAR:
```
La2CoPCl
1.0
-2.751 -1.312 4.766
1.417 -3.769 -0.220
4.526 1.525 3.032
La P Co Cl
2 1 1 1
Direct
0.000 0.000 0.500
0.500 0.000 0.000
0.000 0.000 0.000
0.000 0.500 0.000
0.500 0.500 0.500
```

Properties
Space-group type   P4/mmm
Total DFT energy (no corrections)   -5.692 eV per atom
Total magnetic moment   0.00 μB/f.u.